First-principles (GGA-PBE) data for Mg4ScCr after structural relaxation, as listed in Alexandria via LeMat-Bulk.

Structure (POSCAR):
```
Mg4ScCr
1.0
0.509 -4.422 3.553
-3.857 -4.190 -0.098
1.420 -5.131 -2.024
Mg Sc Cr
4 1 1
Direct
0.875 0.375 0.375
0.375 0.375 0.875
0.375 0.875 0.375
0.375 0.375 0.375
0.750 0.750 0.750
0.000 0.000 0.000
```

Results
Space group: F-43m, No. 216
Energy of formation in eV per atom: 0.254

=====

First-principles (GGA-PBE) data for KBeO2 after structural relaxation, as listed in Alexandria via LeMat-Bulk.

Structure (POSCAR):
```
KBeO2
1.0
1.658 0.000 6.332
-0.829 1.436 6.332
-0.829 -1.436 6.332
Be K O
1 1 2
Direct
0.500 0.500 0.500
0.000 0.000 0.000
0.880 0.880 0.880
0.120 0.120 0.120
```

Results
Space group: R-3m, No. 166
Formation energy from raw total energies in eV per atom: -0.8975

=====

First-principles (GGA-PBE) data for CaSeCl3 after structural relaxation, as listed in Alexandria via LeMat-Bulk.

Structure (POSCAR):
```
CaSeCl3
1.0
5.261 0.000 0.000
0.000 5.261 0.000
0.000 0.000 5.261
Ca Se Cl
1 1 3
Direct
0.500 0.500 0.500
0.000 0.000 0.000
0.000 0.500 0.000
0.000 0.000 0.500
0.500 0.000 0.000
```

Results
Space group: Pm-3m, No. 221
Energy relative to the lowest polymorph listed for this composition in eV/f.u.: 1.865
Formation energy from raw total energies in eV per atom: -0.5928

=====

First-principles (GGA-PBE) data for Ba5P after structural relaxation, as listed in Alexandria via LeMat-Bulk.

Structure (POSCAR):
```
Ba5P
1.0
2.115 -15.674 0.000
2.115 15.674 0.000
0.000 0.000 5.021
Ba P
5 1
Direct
0.812 0.188 0.000
0.188 0.812 0.000
0.500 0.500 0.000
0.416 0.584 0.500
0.584 0.416 0.500
0.000 0.000 0.500
```

Results
Space group: Cmmm, No. 65
Energy of formation in eV per atom: -0.236
Energy relative to the lowest polymorph listed for this composition in eV/f.u.: 0.454

=====

no.,V (A^3/atom)
1,21.77
2,11.30
3,29.12
4,55.50